1.
Computed, not measured: a relaxed RbNa2TeBr crystal at the PBE level of DFT.

Polymorph energy (0 for the lowest one)   1.48 eV/f.u.
N(E_F)   0.00 states/eV/atom
Calculated density   1.4 Mg/m³
Crystal system   tetragonal
Space group   No. 123
Raw total energy   -12.75 eV per cell
ΔE_f (raw)   -418 kJ/mol of formula units

Cell: 5.602 13.059 5.602 Å, 90.00 90.00 90.00°
Atoms (fractional coordinates):
Na1 0.000 0.000 0.500
Na2 0.500 0.000 0.000
Te1 0.000 0.000 0.000
Rb1 0.500 0.500 0.500
Br1 0.000 0.500 0.000


2.
Computed, not measured: a relaxed RbNaTeBr6 crystal at the PBE level of DFT.

N(E_F)   0.00 states/eV/atom
Calculated density   3.2 Mg/m³
Crystal system   trigonal
Space group   No. 149
Raw total energy   -24.02 eV per cell
ΔE_f (raw)   -825 kJ/mol of formula units

Cell: 7.517 7.517 7.536 Å, 90.01 89.99 59.99°
Atoms (fractional coordinates):
Br1 0.617 0.026 0.288
Br2 0.026 0.617 0.712
Br3 0.357 0.026 0.712
Br4 0.026 0.357 0.288
Na1 0.667 0.667 0.500
Te1 0.333 0.333 0.500
Rb1 0.000 0.000 0.000
Br5 0.617 0.357 0.712
Br6 0.357 0.617 0.288


3.
Computed, not measured: a relaxed RbNa2TeBr crystal at the PBE level of DFT.

Polymorph energy (0 for the lowest one)   0.00 eV/f.u.
N(E_F)   0.00 states/eV/atom
Calculated density   2.8 Mg/m³
Crystal system   tetragonal
Space group   No. 107
Raw total energy   -14.24 eV per cell
ΔE_f (raw)   -561 kJ/mol of formula units

Cell: 4.982 4.982 8.721 Å, 106.60 106.60 90.00°
Atoms (fractional coordinates):
Br1 0.844 0.844 0.688
Te1 0.133 0.133 0.266
Rb1 0.534 0.534 0.067
Na1 0.245 0.745 0.489
Na2 0.745 0.245 0.489


4.
Computed, not measured: a relaxed RbNa2ThBr8 crystal at the PBE level of DFT.

N(E_F)   0.13 states/eV/atom
Calculated density   3.6 Mg/m³
Crystal system   triclinic
Space group   No. 2
Raw total energy   -42.42 eV per cell
ΔE_f (raw)   -1738 kJ/mol of formula units

Cell: 7.354 6.209 9.998 Å, 89.86 89.98 90.84°
Each line ends with the local moment (μB).
Atoms (fractional coordinates):
Br1 0.671 0.749 0.000  0.00
Br2 0.152 0.750 0.210  0.00
Rb1 0.000 0.000 0.500  0.00
Br3 0.846 0.249 0.209  0.00
Br4 0.482 0.250 0.500  0.08
Br5 0.329 0.251 0.000  0.00
Br6 0.154 0.751 0.791  0.00
Br7 0.848 0.250 0.790  0.00
Na1 0.500 0.500 0.769  0.00
Br8 0.518 0.750 0.500  0.08
Na2 0.500 0.500 0.231  0.00
Th1 0.000 0.000 0.000  0.00